Here is an optimized crystal structure of GdHoPt2 from the Open Quantum Materials Database. Energies are from PBE-GGA.

Calculated formation energy in eV per atom: -1.278
Volume in Å³/atom: 22.17

a b c (Å): 4.5191 7.0476 5.5688
angles (deg): 90.00 90.00 90.00
Space group Pmn2_1 (No. 31)
Inequivalent atoms, fractional coordinates:
1 Gd 0.0000 0.0686 0.0000 (multiplicity 2)
2 Ho 0.0000 0.5677 0.2183 (multiplicity 2)
3 Pt 0.0000 0.2122 0.5152 (multiplicity 2)
4 Pt 0.0000 0.6998 0.7035 (multiplicity 2)

***

Here is an optimized crystal structure of GdHo3Pt4 from the Open Quantum Materials Database. Energies are from PBE-GGA.

Calculated formation energy in eV per atom: -1.289
Volume in Å³/atom: 21.97

a b c (Å): 5.5528 4.5042 7.0275
angles (deg): 90.00 90.23 90.00
Space group Pm (No. 6)
Inequivalent atoms, fractional coordinates:
1 Gd 0.0000 0.0000 0.0000 (multiplicity 1)
2 Ho 0.2176 0.0000 0.4994 (multiplicity 1)
3 Ho 0.4994 0.5000 0.1365 (multiplicity 1)
4 Ho 0.7171 0.5000 0.6353 (multiplicity 1)
5 Pt 0.0152 0.5000 0.2786 (multiplicity 1)
6 Pt 0.2046 0.5000 0.7698 (multiplicity 1)
7 Pt 0.5139 0.0000 0.8598 (multiplicity 1)
8 Pt 0.7006 0.0000 0.3635 (multiplicity 1)

***

Here is an optimized crystal structure of GdHoSi2Pt4 from the Open Quantum Materials Database. Energies are from PBE-GGA.

E in eV per atom: -6.691
Volume in Å³/atom: 17.66

a b c (Å): 7.1198 3.8790 10.2299
angles (deg): 90.00 90.00 90.00
Space group Amm2 (No. 38)
Inequivalent atoms, fractional coordinates:
1 Gd 0.0000 0.0000 0.0000 (multiplicity 2)
2 Ho 0.5000 0.0000 0.1016 (multiplicity 2)
3 Si 0.0000 0.0000 0.2828 (multiplicity 2)
4 Si 0.5000 0.0000 0.8191 (multiplicity 2)
5 Pt 0.2003 0.0000 0.6952 (multiplicity 4)
6 Pt 0.3020 0.0000 0.4074 (multiplicity 4)

***

Here is an optimized crystal structure of GdHo2Sn3Pt3 from the Open Quantum Materials Database. Energies are from PBE-GGA.

E in eV per atom: -5.982
Volume in Å³/atom: 21.86

a b c (Å): 4.0263 13.0272 7.5028
angles (deg): 90.00 90.00 90.00
Space group Amm2 (No. 38)
Inequivalent atoms, fractional coordinates:
1 Gd 0.0000 0.0000 0.0000 (multiplicity 2)
2 Ho 0.0000 0.2028 0.3905 (multiplicity 4)
3 Sn 0.5000 0.0000 0.3346 (multiplicity 2)
4 Sn 0.5000 0.1292 0.7223 (multiplicity 4)
5 Pt 0.0000 0.0000 0.5916 (multiplicity 2)
6 Pt 0.5000 0.1682 0.0941 (multiplicity 4)

***

Here is an optimized crystal structure of Gd2HoSn3Pt3 from the Open Quantum Materials Database. Energies are from PBE-GGA.

E in eV per atom: -5.990
Volume in Å³/atom: 22.04

a b c (Å): 4.0434 13.0161 7.5370
angles (deg): 90.00 90.00 90.00
Space group Amm2 (No. 38)
Inequivalent atoms, fractional coordinates:
1 Gd 0.0000 0.2034 0.0000 (multiplicity 4)
2 Ho 0.0000 0.0000 0.3905 (multiplicity 2)
3 Sn 0.5000 0.0000 0.0538 (multiplicity 2)
4 Sn 0.5000 0.1290 0.6675 (multiplicity 4)
5 Pt 0.0000 0.0000 0.7944 (multiplicity 2)
6 Pt 0.5000 0.1650 0.2973 (multiplicity 4)

***

Here is an optimized crystal structure of Gd3Ho2TmTe2Pt from the Open Quantum Materials Database. Energies are from PBE-GGA.

E in eV per atom: -5.369
Volume in Å³/atom: 26.94

a b c (Å): 3.9819 14.5062 8.3953
angles (deg): 90.00 90.00 90.00
Space group Amm2 (No. 38)
Inequivalent atoms, fractional coordinates:
1 Gd 0.0000 0.0000 0.0000 (multiplicity 2)
2 Gd 0.0000 0.2007 0.3968 (multiplicity 4)
3 Ho 0.5000 0.1219 0.7194 (multiplicity 4)
4 Tm 0.5000 0.0000 0.3550 (multiplicity 2)
5 Te 0.5000 0.1662 0.0977 (multiplicity 4)
6 Pt 0.0000 0.0000 0.5948 (multiplicity 2)